A relaxed structure of LaPm2Mg, computed with GGA-PBE.

Cell lengths 5.6828, 5.6828, 5.6828 Å; angles 60.00, 60.00, 60.00 degrees
Last column: nearest neighbours and their distance in Å.
Fractional positions:
La 0.0000 0.0000 0.0000  8 Pm 3.48
Pm 0.2500 0.2500 0.2500  4 La 3.48, 4 Mg 3.48
Pm 0.7500 0.7500 0.7500  4 La 3.48, 4 Mg 3.48
Mg 0.5000 0.5000 0.5000  8 Pm 3.48

## Properties
* N(E_F): 6.7 states/eV per cell
* formation energy: 79 meV/atom
* symmetry: Fm-3m
* volume: 32.44 Å³ per atom
* E above lowest polymorph: 45.8 kJ/mol of formula units